The following is a DFT calculation (PBE) of crystalline AcTbDy2Y at its relaxed geometry.

```
AcTbDy2Y
1.0
6.3909 0.0000 0.0000
0.0000 5.8267 0.0000
-3.1271 0.0000 9.2484
Ac Tb Dy Y
2 2 4 2
Cartesian
-0.4975 1.4567 2.7919
3.7613 4.3700 6.4566
0.5973 4.3700 4.6335
2.6666 1.4567 4.6149
-0.4454 1.4567 6.5374
2.6782 1.4567 0.8834
0.5856 4.3700 8.3651
3.7092 4.3700 2.7110
0.5653 4.3700 0.9027
2.6985 1.4567 8.3457
```

## Properties
ρ: 7.7 g/cm³
Space-group type: P2_1/m
DFT formation energy: 0.042 eV per atom
N(E_F): 9.0 states/eV/f.u.